VASP calculation (PBE-GGA) on a geometry-optimized Ta4InNiC2 structure.

Total DFT energy (no corrections)   -9.65 eV per atom
M_tot   0.000 μB/cell

Unit cell a=3.129 b=3.129 c=13.755 alpha=90.00 beta=90.00 gamma=120.00
Sites, in units of the cell vectors:
Ni  0.667  0.333  0.500
In  0.000  0.000  0.000
C  0.333  0.667  0.266
C  0.333  0.667  0.734
Ta  0.000  0.000  0.643
Ta  0.000  0.000  0.357
Ta  0.667  0.333  0.176
Ta  0.667  0.333  0.824